A relaxed Dy2Cu2Si3 crystal, computed with PBE.

Output
Volume   17.3 Å³ per atom
Size of the total moment   0.0 μB/cell
Crystal system   orthorhombic
Space-group type   Cmcm (63)
E_form (uncorrected)   -0.6600 eV/atom
Raw total energy   -76.6 eV per cell

Cell lengths 9.0353, 9.0353, 6.5943 Å; angles 90.00, 90.00, 153.30 degrees
Closest atoms and distances in Å follow each position.
Positions (direct):
Dy (0.0514, 0.9486, 0.7500)  9 Si 2.97-3.12
Dy (0.1574, 0.8426, 0.2500)  6 Si 2.93-2.97, 6 Cu 2.97-2.98
Dy (0.8426, 0.1574, 0.7500)  6 Si 2.93-2.97, 6 Cu 2.97-2.98
Dy (0.9486, 0.0514, 0.2500)  9 Si 2.97-3.12
Cu (0.3109, 0.6891, 0.0600)  4 Si 2.40-2.57, 1 Cu 2.51
Cu (0.3109, 0.6891, 0.4400)  4 Si 2.40-2.57, 1 Cu 2.51
Cu (0.6891, 0.3109, 0.5600)  4 Si 2.40-2.57, 1 Cu 2.51
Cu (0.6891, 0.3109, 0.9400)  4 Si 2.40-2.57, 1 Cu 2.51
Si (0.2222, 0.7778, 0.7500)  6 Cu 2.50-2.57
Si (0.4384, 0.5616, 0.5691)  2 Si 2.35-2.39, 1 Cu 2.40
Si (0.4384, 0.5616, 0.9309)  2 Si 2.35-2.39, 1 Cu 2.40
Si (0.5616, 0.4384, 0.0691)  2 Si 2.35-2.39, 1 Cu 2.40
Si (0.5616, 0.4384, 0.4309)  2 Si 2.35-2.39, 1 Cu 2.40
Si (0.7778, 0.2222, 0.2500)  6 Cu 2.50-2.57


A relaxed Dy4CuSi3 crystal, computed with PBE.

Output
Volume   21.9 Å³ per atom
Size of the total moment   0.0 μB/cell
Crystal system   orthorhombic
Space-group type   Pmm2 (25)
E_form (uncorrected)   -0.6747 eV/atom
Raw total energy   -44.2 eV per cell

Cell lengths 3.9003, 4.2062, 10.6776 Å; angles 90.00, 90.00, 90.00 degrees
Closest atoms and distances in Å follow each position.
Positions (direct):
Dy (0.0000, 0.0000, 0.0000)  5 Si 2.96-3.02, 2 Cu 3.06
Dy (0.0000, 0.5000, 0.4984)  6 Si 2.96-3.12, 1 Cu 3.14
Dy (0.5000, 0.0000, 0.7184)  4 Cu 2.97, 3 Si 3.08-3.11
Dy (0.5000, 0.5000, 0.2181)  7 Si 2.95-3.09
Cu (0.0000, 0.5000, 0.7922)  2 Si 2.46
Si (0.0000, 0.0000, 0.2831)  2 Si 2.50
Si (0.5000, 0.0000, 0.4302)  2 Si 2.50
Si (0.5000, 0.5000, 0.9333)  2 Cu 2.46


A relaxed Dy2CuSi3 crystal, computed with PBE.

Output
Volume   18.7 Å³ per atom
Size of the total moment   0.0 μB/cell
Crystal system   orthorhombic
Space-group type   Pmm2 (25)
E_form (uncorrected)   -0.7061 eV/atom
Raw total energy   -33.8 eV per cell

Cell lengths 4.0135, 4.0659, 6.8810 Å; angles 90.00, 90.00, 90.00 degrees
Closest atoms and distances in Å follow each position.
Positions (direct):
Dy (0.0000, 0.0000, 0.0000)  8 Si 3.03-3.05, 4 Cu 3.10
Dy (0.0000, 0.5000, 0.4909)  2 Cu 3.04, 10 Si 3.06-3.11
Cu (0.5000, 0.5000, 0.8233)  3 Si 2.28-2.29
Si (0.5000, 0.0000, 0.3310)  3 Si 2.34-2.37
Si (0.5000, 0.0000, 0.6709)  2 Cu 2.29, 1 Si 2.34
Si (0.5000, 0.5000, 0.1547)  1 Cu 2.28, 2 Si 2.37


A relaxed DyCu12Si4 crystal, computed with PBE.

Output
Volume   15.7 Å³ per atom
Size of the total moment   0.0 μB/cell
Crystal system   cubic
Space-group type   Im-3 (204)
E_form (uncorrected)   0.2684 eV/atom
Raw total energy   -70.9 eV per cell

Cell lengths 7.0207, 7.0207, 7.0207 Å; angles 109.47, 109.47, 109.47 degrees
Closest atoms and distances in Å follow each position.
Positions (direct):
Dy (0.0000, 0.0000, 0.0000)  12 Cu 3.12
Cu (0.1560, 0.5075, 0.3514)  2 Si 2.32, 2 Cu 2.41-2.53
Cu (0.1560, 0.8046, 0.6486)  2 Si 2.32, 2 Cu 2.41-2.53
Cu (0.1954, 0.3514, 0.8440)  2 Si 2.32, 2 Cu 2.41-2.53
Cu (0.3514, 0.1560, 0.5075)  2 Si 2.32, 2 Cu 2.41-2.53
Cu (0.3514, 0.8440, 0.1954)  2 Si 2.32, 2 Cu 2.41-2.53
Cu (0.4925, 0.6486, 0.8440)  2 Si 2.32, 2 Cu 2.41-2.53
Cu (0.5075, 0.3514, 0.1560)  2 Si 2.32, 2 Cu 2.41-2.53
Cu (0.6486, 0.1560, 0.8046)  2 Si 2.32, 2 Cu 2.41-2.53
Cu (0.6486, 0.8440, 0.4925)  2 Si 2.32, 2 Cu 2.41-2.53
Cu (0.8046, 0.6486, 0.1560)  2 Si 2.32, 2 Cu 2.41-2.53
Cu (0.8440, 0.1954, 0.3514)  2 Si 2.32, 2 Cu 2.41-2.53
Cu (0.8440, 0.4925, 0.6486)  2 Si 2.32, 2 Cu 2.41-2.53
Si (0.0000, 0.0000, 0.5000)  6 Cu 2.32
Si (0.0000, 0.5000, 0.0000)  6 Cu 2.32
Si (0.5000, 0.0000, 0.0000)  6 Cu 2.32
Si (0.5000, 0.5000, 0.5000)  6 Cu 2.32


A relaxed Dy2Cu5Si4 crystal, computed with PBE.

Output
Volume   15.8 Å³ per atom
Size of the total moment   0.0 μB/cell
Crystal system   orthorhombic
Space-group type   Fmmm (69)
E_form (uncorrected)   -0.3615 eV/atom
Raw total energy   -55.4 eV per cell

Cell lengths 8.3053, 7.4554, 5.3328 Å; angles 79.09, 61.82, 39.09 degrees
Closest atoms and distances in Å follow each position.
Positions (direct):
Dy (0.1458, 0.1458, 0.8542)  8 Si 3.02-3.32, 8 Cu 3.03-3.35
Dy (0.8542, 0.8542, 0.1458)  8 Si 3.02-3.32, 8 Cu 3.03-3.35
Cu (0.0000, 0.0000, 0.5000)  4 Si 2.57, 4 Cu 2.67-2.74
Cu (0.2500, 0.2500, 0.2500)  4 Si 2.31
Cu (0.5000, 0.5000, 0.0000)  4 Si 2.57, 4 Cu 2.67-2.74
Cu (0.5000, 0.5000, 0.5000)  4 Si 2.29
Cu (0.7500, 0.7500, 0.7500)  4 Si 2.31
Si (0.2250, 0.4985, 0.5015)  3 Cu 2.29-2.31, 1 Si 2.50
Si (0.4985, 0.2250, 0.7750)  3 Cu 2.29-2.31, 1 Si 2.50
Si (0.5015, 0.7750, 0.2250)  3 Cu 2.29-2.31, 1 Si 2.50
Si (0.7750, 0.5015, 0.4985)  3 Cu 2.29-2.31, 1 Si 2.50


A relaxed DyCuSi2 crystal, computed with PBE.

Output
Volume   17.1 Å³ per atom
Size of the total moment   0.0 μB/cell
Crystal system   orthorhombic
Space-group type   Pnma (62)
E_form (uncorrected)   -0.5671 eV/atom
Raw total energy   -174.5 eV per cell

Cell lengths 13.3086, 3.9845, 10.3325 Å; angles 90.00, 90.00, 90.00 degrees
Closest atoms and distances in Å follow each position.
Positions (direct):
Dy (0.0497, 0.2500, 0.2501)  9 Si 2.91-3.17, 3 Cu 3.07-3.20
Dy (0.2005, 0.7500, 0.5295)  10 Si 2.98-3.21, 3 Cu 3.03-3.17
Dy (0.2995, 0.2500, 0.0295)  10 Si 2.98-3.21, 3 Cu 3.03-3.17
Dy (0.4503, 0.7500, 0.7501)  9 Si 2.91-3.17, 3 Cu 3.07-3.20
Dy (0.5497, 0.2500, 0.2499)  9 Si 2.91-3.17, 3 Cu 3.07-3.20
Dy (0.7005, 0.7500, 0.9705)  10 Si 2.98-3.21, 3 Cu 3.03-3.17
Dy (0.7995, 0.2500, 0.4705)  10 Si 2.98-3.21, 3 Cu 3.03-3.17
Dy (0.9503, 0.7500, 0.7499)  9 Si 2.91-3.17, 3 Cu 3.07-3.20
Cu (0.0522, 0.2500, 0.9534)  4 Si 2.35-2.41, 2 Cu 2.61
Cu (0.2073, 0.7500, 0.8228)  5 Si 2.42-2.50
Cu (0.2927, 0.2500, 0.3228)  5 Si 2.42-2.50
Cu (0.4478, 0.7500, 0.4534)  4 Si 2.35-2.41, 2 Cu 2.61
Cu (0.5522, 0.2500, 0.5466)  4 Si 2.35-2.41, 2 Cu 2.61
Cu (0.7073, 0.7500, 0.6772)  5 Si 2.42-2.50
Cu (0.7927, 0.2500, 0.1772)  5 Si 2.42-2.50
Cu (0.9478, 0.7500, 0.0466)  4 Si 2.35-2.41, 2 Cu 2.61
Si (0.0345, 0.2500, 0.5394)  3 Si 2.33-2.34
Si (0.1139, 0.2500, 0.7404)  2 Si 2.33-2.37, 3 Cu 2.35-2.50
Si (0.1288, 0.7500, 0.0340)  1 Si 2.36, 4 Cu 2.39-2.42
Si (0.2084, 0.7500, 0.2384)  2 Si 2.36-2.37, 2 Cu 2.45
Si (0.2916, 0.2500, 0.7384)  2 Si 2.36-2.37, 2 Cu 2.45
Si (0.3712, 0.2500, 0.5340)  1 Si 2.36, 4 Cu 2.39-2.42
Si (0.3861, 0.7500, 0.2404)  2 Si 2.33-2.37, 3 Cu 2.35-2.50
Si (0.4655, 0.7500, 0.0394)  3 Si 2.33-2.34
Si (0.5345, 0.2500, 0.9606)  3 Si 2.33-2.34
Si (0.6139, 0.2500, 0.7596)  2 Si 2.33-2.37, 3 Cu 2.35-2.50
Si (0.6288, 0.7500, 0.4660)  1 Si 2.36, 4 Cu 2.39-2.42
Si (0.7084, 0.7500, 0.2616)  2 Si 2.36-2.37, 2 Cu 2.45
Si (0.7916, 0.2500, 0.7616)  2 Si 2.36-2.37, 2 Cu 2.45
Si (0.8712, 0.2500, 0.9660)  1 Si 2.36, 4 Cu 2.39-2.42
Si (0.8861, 0.7500, 0.2596)  2 Si 2.33-2.37, 3 Cu 2.35-2.50
Si (0.9655, 0.7500, 0.4606)  3 Si 2.33-2.34


A relaxed Dy3Cu2Si4 crystal, computed with PBE.

Output
Volume   18.7 Å³ per atom
Size of the total moment   0.0 μB/cell
Crystal system   monoclinic
Space-group type   C2/m (12)
E_form (uncorrected)   -0.7295 eV/atom
Raw total energy   -50.3 eV per cell

Cell lengths 5.6698, 5.6698, 8.0148 Å; angles 100.51, 100.51, 41.77 degrees
Closest atoms and distances in Å follow each position.
Positions (direct):
Dy (0.0000, 0.0000, 0.0000)  8 Si 3.03-3.12, 4 Cu 3.09
Dy (0.3381, 0.3381, 0.3318)  4 Cu 3.01-3.10, 8 Si 3.06-3.08
Dy (0.6619, 0.6619, 0.6682)  4 Cu 3.01-3.10, 8 Si 3.06-3.08
Cu (0.3877, 0.3877, 0.7176)  3 Si 2.28-2.30
Cu (0.6123, 0.6123, 0.2824)  3 Si 2.28-2.30
Si (0.0594, 0.0594, 0.3882)  2 Cu 2.30, 1 Si 2.38
Si (0.2824, 0.2824, 0.9406)  1 Cu 2.28, 2 Si 2.39
Si (0.7176, 0.7176, 0.0594)  1 Cu 2.28, 2 Si 2.39
Si (0.9406, 0.9406, 0.6118)  2 Cu 2.30, 1 Si 2.38


A relaxed Dy2Cu3Si4 crystal, computed with PBE.

Output
Volume   16.0 Å³ per atom
Size of the total moment   0.0 μB/cell
Crystal system   orthorhombic
Space-group type   Cmce (64)
E_form (uncorrected)   -0.4469 eV/atom
Raw total energy   -94.4 eV per cell

Cell lengths 7.7506, 7.7506, 7.2625 Å; angles 90.00, 90.00, 138.69 degrees
Closest atoms and distances in Å follow each position.
Positions (direct):
Dy (0.1088, 0.8912, 0.9038)  8 Si 2.95-3.19, 4 Cu 3.00-3.23
Dy (0.3912, 0.6088, 0.4038)  8 Si 2.95-3.19, 4 Cu 3.00-3.23
Dy (0.6088, 0.3912, 0.5962)  8 Si 2.95-3.19, 4 Cu 3.00-3.23
Dy (0.8912, 0.1088, 0.0962)  8 Si 2.95-3.19, 4 Cu 3.00-3.23
Cu (0.0000, 0.0000, 0.5000)  6 Si 2.43-2.60
Cu (0.0261, 0.4739, 0.7500)  5 Si 2.39-2.59
Cu (0.4739, 0.0261, 0.2500)  5 Si 2.39-2.59
Cu (0.5000, 0.5000, 0.0000)  6 Si 2.43-2.60
Cu (0.5261, 0.9739, 0.7500)  5 Si 2.39-2.59
Cu (0.9739, 0.5261, 0.2500)  5 Si 2.39-2.59
Si (0.1791, 0.8209, 0.5182)  5 Cu 2.47-2.60
Si (0.1907, 0.3093, 0.7500)  3 Cu 2.39-2.43
Si (0.3093, 0.1907, 0.2500)  3 Cu 2.39-2.43
Si (0.3209, 0.6791, 0.0182)  5 Cu 2.47-2.60
Si (0.6791, 0.3209, 0.9818)  5 Cu 2.47-2.60
Si (0.6907, 0.8093, 0.7500)  3 Cu 2.39-2.43
Si (0.8093, 0.6907, 0.2500)  3 Cu 2.39-2.43
Si (0.8209, 0.1791, 0.4818)  5 Cu 2.47-2.60


A relaxed DyCu4Si crystal, computed with PBE.

Output
Volume   14.9 Å³ per atom
Size of the total moment   0.0 μB/cell
Crystal system   cubic
Space-group type   F-43m (216)
E_form (uncorrected)   -0.1299 eV/atom
Raw total energy   -27.2 eV per cell

Cell lengths 5.0146, 5.0146, 5.0146 Å; angles 60.00, 60.00, 60.00 degrees
Closest atoms and distances in Å follow each position.
Positions (direct):
Dy (0.0000, 0.0000, 0.0000)  12 Cu 2.94, 4 Si 3.07
Cu (0.3755, 0.3755, 0.3755)  6 Cu 2.50-2.52
Cu (0.3755, 0.3755, 0.8736)  6 Cu 2.50-2.52
Cu (0.3755, 0.8736, 0.3755)  6 Cu 2.50-2.52
Cu (0.8736, 0.3755, 0.3755)  6 Cu 2.50-2.52
Si (0.7500, 0.7500, 0.7500)  12 Cu 2.94, 4 Dy 3.07


A relaxed Dy3CuSi2 crystal, computed with PBE.

Output
Volume   22.2 Å³ per atom
Size of the total moment   0.0 μB/cell
Crystal system   orthorhombic
Space-group type   Pnma (62)
E_form (uncorrected)   -0.6483 eV/atom
Raw total energy   -130.6 eV per cell

Cell lengths 11.2688, 4.1671, 11.3632 Å; angles 90.00, 90.00, 90.00 degrees
Closest atoms and distances in Å follow each position.
Positions (direct):
Dy (0.0593, 0.2500, 0.1217)  1 Cu 2.87, 5 Si 2.95-3.13
Dy (0.1218, 0.7500, 0.5628)  3 Cu 2.98-3.07, 5 Si 3.00-3.05
Dy (0.2078, 0.2500, 0.8041)  2 Cu 2.84, 4 Si 2.95-3.01
Dy (0.2922, 0.7500, 0.3041)  2 Cu 2.84, 4 Si 2.95-3.01
Dy (0.3782, 0.2500, 0.0628)  3 Cu 2.98-3.07, 5 Si 3.00-3.05
Dy (0.4407, 0.7500, 0.6217)  1 Cu 2.87, 5 Si 2.95-3.13
Dy (0.5593, 0.2500, 0.3783)  1 Cu 2.87, 5 Si 2.95-3.13
Dy (0.6218, 0.7500, 0.9372)  3 Cu 2.98-3.07, 5 Si 3.00-3.05
Dy (0.7078, 0.2500, 0.6959)  2 Cu 2.84, 4 Si 2.95-3.01
Dy (0.7922, 0.7500, 0.1959)  2 Cu 2.84, 4 Si 2.95-3.01
Dy (0.8782, 0.2500, 0.4372)  3 Cu 2.98-3.07, 5 Si 3.00-3.05
Dy (0.9407, 0.7500, 0.8783)  1 Cu 2.87, 5 Si 2.95-3.13
Cu (0.1319, 0.2500, 0.3642)  3 Si 2.47
Cu (0.3681, 0.7500, 0.8642)  3 Si 2.47
Cu (0.6319, 0.2500, 0.1358)  3 Si 2.47
Cu (0.8681, 0.7500, 0.6358)  3 Si 2.47
Si (0.0251, 0.7500, 0.3152)  2 Cu 2.47
Si (0.1927, 0.7500, 0.9944)  1 Cu 2.47
Si (0.3073, 0.2500, 0.4944)  1 Cu 2.47
Si (0.4749, 0.2500, 0.8152)  2 Cu 2.47
Si (0.5251, 0.7500, 0.1848)  2 Cu 2.47
Si (0.6927, 0.7500, 0.5056)  1 Cu 2.47
Si (0.8073, 0.2500, 0.0056)  1 Cu 2.47
Si (0.9749, 0.2500, 0.6848)  2 Cu 2.47


A relaxed DyCuSi2 crystal, computed with PBE.

Output
Volume   19.5 Å³ per atom
Size of the total moment   0.0 μB/cell
Crystal system   orthorhombic
Space-group type   Amm2 (38)
E_form (uncorrected)   -0.2519 eV/atom
Raw total energy   -20.6 eV per cell

Cell lengths 3.8204, 4.5542, 4.5542 Å; angles 79.95, 90.00, 90.00 degrees
Closest atoms and distances in Å follow each position.
Positions (direct):
Dy (0.0000, 0.0000, 0.0000)  8 Si 2.98-3.03
Cu (0.5000, 0.4061, 0.4061)  4 Si 2.28-2.37
Si (0.5000, 0.5112, 0.8980)  1 Si 2.26, 2 Cu 2.28-2.37
Si (0.5000, 0.8980, 0.5112)  1 Si 2.26, 2 Cu 2.28-2.37